1.
A plane-wave DFT calculation with PBE was carried out for an optimized crystal structure of Tc2SbO.

Properties
The value obtained for the formation energy without anion corrections is 125 meV per atom. Its calculated total energy is -7.328 eV/atom. Its offset from the most stable computed form is 0 meV per atom. The calculated density comes out at 7.8 g cm⁻³. The calculation puts the total magnetization at 0.00 μB/f.u. The calculation puts the density of states at the Fermi level at 3.8 states/eV/f.u.

Cell lengths 5.4147, 5.4147, 6.1847 Å; angles 64.04, 64.04, 90.00 degrees
Last column: nearest neighbours and their distance in Å.
Atoms (fractional coordinates):
Tc  0.2384  0.6250  0.2500  2 O 1.96
Tc  0.5116  0.1250  0.2500  2 O 1.96
Tc  0.3750  0.4884  0.7500  2 O 1.96
Tc  0.8750  0.7616  0.7500  2 O 1.96
O  0.5000  0.5000  0.0000  4 Tc 1.96
O  0.2500  0.7500  0.5000  4 Tc 1.96
Sb  0.0000  0.0000  0.0000  4 Tc 2.68
Sb  0.7500  0.2500  0.5000  4 Tc 2.68



2.
A plane-wave DFT calculation with PBE was carried out for an optimized crystal structure of Tc2Sb2O.

Properties
The value obtained for the formation energy without anion corrections is 364 meV per atom. Its calculated total energy is -6.423 eV/atom. Its offset from the most stable computed form is 243 meV per atom. The calculated density comes out at 8.8 g cm⁻³. The calculation puts the total magnetization at 0.00 μB/f.u. The calculation puts the density of states at the Fermi level at 4.3 states/eV/f.u.

Cell lengths 7.1686, 7.1686, 3.3614 Å; angles 90.00, 90.00, 90.00 degrees
Last column: nearest neighbours and their distance in Å.
Atoms (fractional coordinates):
O  0.5000  0.5000  0.0000  4 Tc 2.75
O  0.0000  0.0000  0.0000  4 Tc 2.75
Sb  0.8459  0.3459  0.5000  6 Tc 2.64-2.73
Sb  0.3459  0.1541  0.5000  6 Tc 2.64-2.73
Sb  0.6541  0.8459  0.5000  6 Tc 2.64-2.73
Sb  0.1541  0.6541  0.5000  6 Tc 2.64-2.73
Tc  0.8545  0.6455  0.0000  6 Sb 2.64-2.73, 2 O 2.75, 1 Tc 2.95
Tc  0.6455  0.1455  0.0000  6 Sb 2.64-2.73, 2 O 2.75, 1 Tc 2.95
Tc  0.3545  0.8545  0.0000  6 Sb 2.64-2.73, 2 O 2.75, 1 Tc 2.95
Tc  0.1455  0.3545  0.0000  6 Sb 2.64-2.73, 2 O 2.75, 1 Tc 2.95



3.
A plane-wave DFT calculation with PBE was carried out for an optimized crystal structure of Tc2SbO.

Properties
The value obtained for the formation energy without anion corrections is 450 meV per atom. Its calculated total energy is -7.003 eV/atom. Its offset from the most stable computed form is 325 meV per atom. The calculated density comes out at 9.4 g cm⁻³. The calculation puts the total magnetization at 0.00 μB/f.u. The calculation puts the density of states at the Fermi level at 6.5 states/eV/f.u.

Cell lengths 4.3639, 4.3639, 4.3639 Å; angles 60.00, 60.00, 60.00 degrees
Last column: nearest neighbours and their distance in Å.
Atoms (fractional coordinates):
O  0.0000  0.0000  0.0000  8 Tc 2.67
Sb  0.5000  0.5000  0.5000  8 Tc 2.67
Tc  0.2500  0.2500  0.2500  4 O 2.67, 4 Sb 2.67
Tc  0.7500  0.7500  0.7500  4 O 2.67, 4 Sb 2.67



4.
A plane-wave DFT calculation with PBE was carried out for an optimized crystal structure of SbTeO3.

Properties
The value obtained for the formation energy without anion corrections is -793 meV per atom. Its calculated total energy is -5.221 eV/atom. The calculated density comes out at 5.0 g cm⁻³. The calculation puts the total magnetization at 0.00 μB/f.u. The calculation puts the density of states at the Fermi level at 1.8 states/eV/f.u.

Cell lengths 4.3855, 5.6585, 9.7826 Å; angles 90.00, 126.18, 90.00 degrees
Last column: nearest neighbours and their distance in Å.
Atoms (fractional coordinates):
O  0.1080  0.9999  0.2832  1 Te 1.96, 1 Sb 2.02
O  0.8920  0.4999  0.7168  1 Te 1.96, 1 Sb 2.02
O  0.3316  0.2500  0.1034  1 Te 1.88
O  0.1080  0.5001  0.2832  1 Te 1.96, 1 Sb 2.02
O  0.6684  0.7500  0.8966  1 Te 1.88
O  0.8920  0.0001  0.7168  1 Te 1.96, 1 Sb 2.02
Te  0.0852  0.7500  0.8872  3 O 1.88-1.96
Te  0.9148  0.2500  0.1128  3 O 1.88-1.96
Sb  0.1758  0.2500  0.6863  2 O 2.02
Sb  0.8242  0.7500  0.3137  2 O 2.02



5.
A plane-wave DFT calculation with PBE was carried out for an optimized crystal structure of SbTeO3.

Properties
The value obtained for the formation energy without anion corrections is -430 meV per atom. Its calculated total energy is -4.858 eV/atom. The calculated density comes out at 7.0 g cm⁻³. The calculation puts the total magnetization at 0.00 μB/f.u. The calculation puts the density of states at the Fermi level at 3.0 states/eV/f.u.

Cell lengths 4.1300, 4.1300, 4.1300 Å; angles 90.00, 90.00, 90.00 degrees
Last column: nearest neighbours and their distance in Å.
Atoms (fractional coordinates):
O  0.5000  0.0000  0.0000  2 Sb 2.07
O  0.0000  0.0000  0.5000  2 Sb 2.07
O  0.0000  0.5000  0.0000  2 Sb 2.07
Sb  0.0000  0.0000  0.0000  6 O 2.07
Te  0.5000  0.5000  0.5000  12 O 2.92



6.
A plane-wave DFT calculation with PBE was carried out for an optimized crystal structure of Sb2TeO.

Properties
The value obtained for the formation energy without anion corrections is 316 meV per atom. Its calculated total energy is -3.770 eV/atom. Its offset from the most stable computed form is 502 meV per atom. The calculated density comes out at 7.3 g cm⁻³. The calculation puts the total magnetization at 0.00 μB/f.u. The calculation puts the density of states at the Fermi level at 3.1 states/eV/f.u.

Cell lengths 4.9964, 4.9964, 4.9964 Å; angles 60.00, 60.00, 60.00 degrees
Last column: nearest neighbours and their distance in Å.
Atoms (fractional coordinates):
O  0.0000  0.0000  0.0000  8 Sb 3.06
Sb  0.2500  0.2500  0.2500  4 O 3.06, 4 Te 3.06
Sb  0.7500  0.7500  0.7500  4 O 3.06, 4 Te 3.06
Te  0.5000  0.5000  0.5000  8 Sb 3.06



Question: What is the formula in the third record?
Answer: Tc2SbO



Question: The lowest calculated density belongs to which entry?
Answer: number 4